Compound: Dy2Zr2Sb2C
Source: the Alexandria database
Functional: PBE-GGA
Structure: optimized geometry

Calculated values
As for the density of states at the Fermi level: 0.5770 states/eV/atom. The calculation puts the uncorrected energy at -0.260 hartree per atom. Its size of the total moment is 0.000 Bohr magnetons per cell. The uncorrected formation energy is -0.83 eV per atom.

Unit cell a=8.521 b=8.521 c=8.521 alpha=149.33 beta=149.33 gamma=43.93
Fractional positions:
Dy  0.162  0.162  0.000
Dy  0.838  0.838  0.000
Zr  0.000  0.500  0.500
Zr  0.500  0.000  0.500
Sb  0.361  0.361  0.000
Sb  0.639  0.639  0.000
C  0.000  0.000  0.000

***

Compound: Dy2ScC
Source: the Alexandria database
Functional: PBE-GGA
Structure: optimized geometry

Calculated values
As for the density of states at the Fermi level: 1.1874 states/eV/atom. The calculation puts the uncorrected energy at -0.228 hartree per atom. Its size of the total moment is 0.537 Bohr magnetons per cell. The calculation puts the formation energy at -0.01 eV/atom.

Unit cell a=9.491 b=9.491 c=9.491 alpha=21.19 beta=21.19 gamma=21.19
Fractional positions:
Dy  0.118  0.118  0.118
Dy  0.882  0.882  0.882
Sc  0.000  0.000  0.000
C  0.500  0.500  0.500

***

Compound: DyScC
Source: the Alexandria database
Functional: PBE-GGA
Structure: optimized geometry

Calculated values
As for the density of states at the Fermi level: 0.7725 states/eV/atom. The calculation puts the uncorrected energy at -0.258 hartree per atom. Its size of the total moment is 0.001 Bohr magnetons per cell. The calculation puts the formation energy at -0.31 eV/atom.

Unit cell a=3.449 b=3.449 c=5.984 alpha=90.00 beta=90.00 gamma=120.00
Fractional positions:
Dy  0.000  0.000  0.000
Sc  0.333  0.667  0.431
C  0.667  0.333  0.238

***

Compound: Dy2Sc2C3
Source: the Alexandria database
Functional: PBE-GGA
Structure: optimized geometry

Calculated values
As for the density of states at the Fermi level: 0.1870 states/eV/atom. The calculation puts the uncorrected energy at -0.272 hartree per atom. Its size of the total moment is 0.000 Bohr magnetons per cell. The calculation puts the formation energy at -0.32 eV/atom.

Unit cell a=6.233 b=6.233 c=6.051 alpha=106.38 beta=106.38 gamma=33.31
Fractional positions:
Dy  0.119  0.119  0.372
Dy  0.881  0.881  0.628
Sc  0.343  0.343  0.161
Sc  0.657  0.657  0.839
C  0.261  0.261  0.767
C  0.500  0.500  0.500
C  0.739  0.739  0.233

***

Compound: Dy3ScC
Source: the Alexandria database
Functional: PBE-GGA
Structure: optimized geometry

Calculated values
As for the density of states at the Fermi level: 1.4637 states/eV/atom. The calculation puts the uncorrected energy at -0.217 hartree per atom. Its size of the total moment is 0.003 Bohr magnetons per cell. The calculation puts the formation energy at -0.02 eV/atom.

Unit cell a=4.994 b=4.994 c=4.994 alpha=90.00 beta=90.00 gamma=90.00
Fractional positions:
Dy  0.000  0.000  0.500
Dy  0.000  0.500  0.000
Dy  0.500  0.000  0.000
Sc  0.500  0.500  0.500
C  0.000  0.000  0.000

***

Compound: DySc3C
Source: the Alexandria database
Functional: PBE-GGA
Structure: optimized geometry

Calculated values
As for the density of states at the Fermi level: 1.1717 states/eV/atom. The calculation puts the uncorrected energy at -0.245 hartree per atom. Its size of the total moment is 0.001 Bohr magnetons per cell. The calculation puts the formation energy at -0.09 eV/atom.

Unit cell a=4.708 b=4.708 c=4.708 alpha=90.00 beta=90.00 gamma=90.00
Fractional positions:
Dy  0.000  0.000  0.000
Sc  0.000  0.500  0.500
Sc  0.500  0.000  0.500
Sc  0.500  0.500  0.000
C  0.500  0.500  0.500

***

Compound: DyScC
Source: the Alexandria database
Functional: PBE-GGA
Structure: optimized geometry

Calculated values
As for the density of states at the Fermi level: 0.4240 states/eV/atom. The calculation puts the uncorrected energy at -0.255 hartree per atom. Its size of the total moment is 0.000 Bohr magnetons per cell. The calculation puts the formation energy at -0.23 eV/atom.

Unit cell a=3.360 b=3.360 c=4.952 alpha=90.00 beta=90.00 gamma=90.00
Fractional positions:
Dy  0.000  0.000  0.000
Sc  0.500  0.500  0.500
C  0.000  0.000  0.500

***

Compound: Dy2ScC2
Source: the Alexandria database
Functional: PBE-GGA
Structure: optimized geometry

Calculated values
As for the density of states at the Fermi level: 0.3910 states/eV/atom. The calculation puts the uncorrected energy at -0.260 hartree per atom. Its size of the total moment is 1.791 Bohr magnetons per cell. The calculation puts the formation energy at -0.27 eV/atom.

Unit cell a=6.203 b=6.203 c=7.085 alpha=110.30 beta=110.30 gamma=48.41
Fractional positions:
Dy  0.013  0.013  0.240
Dy  0.333  0.333  0.921
Dy  0.667  0.667  0.079
Dy  0.987  0.987  0.760
Sc  0.352  0.352  0.398
Sc  0.648  0.648  0.602
C  0.174  0.174  0.101
C  0.495  0.495  0.730
C  0.505  0.505  0.270
C  0.826  0.826  0.899